## one
{
  "formula": "BeCoAsO",
  "functional": "PBE with a Hubbard U",
  "state": "optimized geometry",
  "cell": [[-1.464, 0.477, 2.716], [-3.088, -5.791, -0.646], [3.827, -2.316, 2.469]],
  "species": ["O", "O", "Co", "Co", "Be", "Be", "As", "As"],
  "frac_coords": [[0.500, 0.583, 0.862], [0.500, 0.417, 0.362], [0.000, 0.780, 0.934], [0.000, 0.220, 0.434], [0.500, 0.599, 0.557], [0.500, 0.401, 0.057], [0.000, 0.853, 0.402], [0.000, 0.147, 0.902]],
  "density_g_cm3": 5.0,
  "crystal_system": "orthorhombic"
}

=====

## two
{
  "formula": "BeCoAsO",
  "functional": "PBE with a Hubbard U",
  "state": "optimized geometry",
  "cell": [[3.577, 0.000, 0.000], [0.000, 3.577, 0.000], [0.000, 0.000, 8.646]],
  "species": ["As", "As", "O", "O", "Co", "Co", "Be", "Be"],
  "frac_coords": [[0.750, 0.750, 0.330], [0.250, 0.250, 0.670], [0.750, 0.250, 0.000], [0.250, 0.750, 0.000], [0.250, 0.250, 0.096], [0.750, 0.750, 0.904], [0.250, 0.750, 0.500], [0.750, 0.250, 0.500]],
  "density_g_cm3": 4.8,
  "crystal_system": "tetragonal"
}

=====

## three
{
  "formula": "BeCoAsO",
  "functional": "PBE with a Hubbard U",
  "state": "optimized geometry",
  "cell": [[-0.344, -2.713, -2.085], [3.175, -1.034, 0.822], [-3.218, -4.650, 6.582]],
  "species": ["Co", "Co", "O", "O", "Be", "Be", "As", "As"],
  "frac_coords": [[0.750, 0.250, 0.500], [0.250, 0.750, 0.500], [0.250, 0.750, 0.000], [0.750, 0.250, 0.000], [0.750, 0.750, 0.010], [0.250, 0.250, 0.990], [0.750, 0.750, 0.331], [0.250, 0.250, 0.669]],
  "density_g_cm3": 5.1,
  "crystal_system": "tetragonal"
}

=====

## four
{
  "formula": "BeCoAsO",
  "functional": "PBE with a Hubbard U",
  "state": "optimized geometry",
  "cell": [[-0.677, -2.693, -0.376], [2.960, -1.432, 4.932], [-5.034, 0.811, 3.257]],
  "species": ["O", "O", "As", "As", "Co", "Co", "Be", "Be"],
  "frac_coords": [[0.500, 0.714, 0.376], [0.500, 0.286, 0.876], [0.000, 0.779, 0.876], [0.000, 0.221, 0.376], [0.500, 0.000, 0.626], [0.500, 0.000, 0.126], [0.000, 0.384, 0.877], [0.000, 0.616, 0.377]],
  "density_g_cm3": 5.3,
  "crystal_system": "orthorhombic"
}

=====

four is the most stable structure; the next one sits 62 meV/atom above it.